Entry 1:
SrTb3Ni: optimized geometry, GGA-PBE.

Values from the calculation:
- ΔE_f (kJ/mol of atoms) = -3
- SG = Pm-3m (221)

POSCAR file:
```
SrTb3Ni
1.0
5.455 0.000 0.000
0.000 5.455 0.000
0.000 0.000 5.455
Sr Tb Ni
1 3 1
Direct
0.000 0.000 0.000 Sr
0.000 0.500 0.500 Tb
0.500 0.000 0.500 Tb
0.500 0.500 0.000 Tb
0.500 0.500 0.500 Ni
```

=====

Entry 2:
PuCoSi2: optimized geometry, GGA-PBE.

Values from the calculation:
- formation energy without anion corrections (kJ/mol of atoms) = 8
- SG = R-3m (166)

POSCAR file:
```
PuCoSi2
1.0
1.350 0.780 9.271
-1.350 0.780 9.271
0.000 -1.559 9.271
Pu Co Si
1 1 2
Direct
0.000 0.000 0.000 Pu
0.500 0.500 0.500 Co
0.102 0.102 0.102 Si
0.898 0.898 0.898 Si
```

=====

Entry 3:
SrMgAsBr: optimized geometry, GGA-PBE.

Values from the calculation:
- formation energy without anion corrections (kJ/mol of atoms) = -134
- SG = R-3m (166)

POSCAR file:
```
SrMgAsBr
1.0
2.241 1.294 14.483
-2.241 1.294 14.483
0.000 -2.588 14.483
Sr Mg As Br
2 2 2 2
Direct
0.086 0.086 0.086 Sr
0.914 0.914 0.914 Sr
0.311 0.311 0.311 Mg
0.689 0.689 0.689 Mg
0.374 0.374 0.374 As
0.626 0.626 0.626 As
0.210 0.210 0.210 Br
0.790 0.790 0.790 Br
```

=====

Entry 4:
Ni2RhW: optimized geometry, GGA-PBE.

Values from the calculation:
- ΔE_f (kJ/mol of atoms) = -3
- SG = Cm (8)
- ΔE to the lowest computed polymorph (meV/atom) = 123

POSCAR file:
```
Ni2RhW
1.0
4.369 -1.354 0.000
4.369 1.354 0.000
-0.844 0.000 4.416
Ni Rh W
2 1 1
Direct
0.000 0.000 0.000 Ni
0.745 0.745 0.228 Ni
0.251 0.251 0.738 Rh
0.494 0.494 0.483 W
```

=====

Entry 5:
PmMgHgAu: optimized geometry, GGA-PBE.

Values from the calculation:
- ΔE_f (kJ/mol of atoms) = -59
- SG = F-43m (216)

POSCAR file:
```
PmMgHgAu
1.0
0.000 3.585 3.585
3.585 0.000 3.585
3.585 3.585 0.000
Pm Mg Hg Au
1 1 1 1
Direct
0.000 0.000 0.000 Pm
0.500 0.500 0.500 Mg
0.750 0.750 0.750 Hg
0.250 0.250 0.250 Au
```

=====

Entry 6:
La2CrHg: optimized geometry, GGA-PBE.

Values from the calculation:
- ΔE_f (kJ/mol of atoms) = 48
- SG = I-42d (122)

POSCAR file:
```
La2CrHg
1.0
-3.768 3.768 3.912
3.768 -3.768 3.912
3.768 3.768 -3.912
La Cr Hg
4 2 2
Direct
0.032 0.625 0.907 La
0.375 0.282 0.407 La
0.718 0.125 0.093 La
0.875 0.968 0.593 La
0.000 0.000 0.000 Cr
0.750 0.250 0.500 Cr
0.250 0.750 0.500 Hg
0.500 0.500 0.000 Hg
```

=====

Entry 7:
Cs2TlNiN: optimized geometry, GGA-PBE.

Values from the calculation:
- formation energy without anion corrections (kJ/mol of atoms) = 112
- SG = P4/mmm (123)

POSCAR file:
```
Cs2TlNiN
1.0
6.147 0.000 0.000
0.000 6.147 0.000
0.000 0.000 4.966
Cs Tl Ni N
2 1 1 1
Direct
0.000 0.500 0.000 Cs
0.500 0.000 0.000 Cs
0.000 0.000 0.500 Tl
0.000 0.000 0.000 Ni
0.500 0.500 0.500 N
```

=====

Entry 8:
SiIO3: optimized geometry, GGA-PBE.

Values from the calculation:
- formation energy without anion corrections (kJ/mol of atoms) = -68
- SG = Pm-3m (221)

POSCAR file:
```
SiIO3
1.0
3.737 0.000 0.000
0.000 3.737 0.000
0.000 0.000 3.737
Si I O
1 1 3
Direct
0.000 0.000 0.000 Si
0.500 0.500 0.500 I
0.000 0.000 0.500 O
0.000 0.500 0.000 O
0.500 0.000 0.000 O
```

=====

Entry 9:
Ca3Sc2Ge3O12: optimized geometry, GGA-PBE.

Values from the calculation:
- formation energy without anion corrections (kJ/mol of atoms) = -259
- SG = Ia-3d (230)

POSCAR file:
```
Ca3Sc2Ge3O12
1.0
-6.324 6.324 6.324
6.324 -6.324 6.324
6.324 6.324 -6.324
Ca Sc Ge O
12 8 12 48
Direct
0.125 0.250 0.375 Ca
0.125 0.375 0.750 Ca
0.250 0.375 0.125 Ca
0.250 0.875 0.625 Ca
0.375 0.125 0.250 Ca
0.375 0.750 0.125 Ca
0.625 0.250 0.875 Ca
0.625 0.875 0.750 Ca
0.750 0.125 0.375 Ca
0.750 0.625 0.875 Ca
0.875 0.625 0.250 Ca
0.875 0.750 0.625 Ca
0.000 0.000 0.000 Sc
0.000 0.000 0.500 Sc
0.000 0.500 0.000 Sc
0.000 0.500 0.500 Sc
0.500 0.000 0.000 Sc
0.500 0.000 0.500 Sc
0.500 0.500 0.000 Sc
0.500 0.500 0.500 Sc
0.125 0.750 0.875 Ge
0.125 0.875 0.250 Ge
0.250 0.125 0.875 Ge
0.250 0.625 0.375 Ge
0.375 0.250 0.625 Ge
0.375 0.625 0.750 Ge
0.625 0.375 0.250 Ge
0.625 0.750 0.375 Ge
0.750 0.375 0.625 Ge
0.750 0.875 0.125 Ge
0.875 0.125 0.750 Ge
0.875 0.250 0.125 Ge
0.018 0.207 0.121 O
0.018 0.310 0.897 O
0.087 0.707 0.690 O
0.087 0.879 0.397 O
0.103 0.621 0.413 O
0.103 0.982 0.690 O
0.121 0.018 0.207 O
0.121 0.603 0.913 O
0.190 0.207 0.587 O
0.190 0.482 0.603 O
0.207 0.121 0.018 O
0.207 0.587 0.190 O
0.293 0.310 0.913 O
0.293 0.482 0.379 O
0.310 0.897 0.018 O
0.310 0.913 0.293 O
0.379 0.293 0.482 O
0.379 0.587 0.897 O
0.397 0.087 0.879 O
0.397 0.810 0.518 O
0.413 0.103 0.621 O
0.413 0.810 0.793 O
0.482 0.379 0.293 O
0.482 0.603 0.190 O
0.518 0.397 0.810 O
0.518 0.621 0.707 O
0.587 0.190 0.207 O
0.587 0.897 0.379 O
0.603 0.190 0.482 O
0.603 0.913 0.121 O
0.621 0.413 0.103 O
0.621 0.707 0.518 O
0.690 0.087 0.707 O
0.690 0.103 0.982 O
0.707 0.518 0.621 O
0.707 0.690 0.087 O
0.793 0.413 0.810 O
0.793 0.879 0.982 O
0.810 0.518 0.397 O
0.810 0.793 0.413 O
0.879 0.397 0.087 O
0.879 0.982 0.793 O
0.897 0.018 0.310 O
0.897 0.379 0.587 O
0.913 0.121 0.603 O
0.913 0.293 0.310 O
0.982 0.690 0.103 O
0.982 0.793 0.879 O
```

=====

Entry 10:
Tc2SbI2: optimized geometry, GGA-PBE.

Values from the calculation:
- formation energy without anion corrections (kJ/mol of atoms) = 90
- SG = P4/mbm (127)
- ΔE to the lowest computed polymorph (meV/atom) = 0

POSCAR file:
```
Tc2SbI2
1.0
7.961 0.000 0.000
0.000 7.961 0.000
0.000 0.000 3.358
Tc Sb I
4 2 4
Direct
0.129 0.371 0.000 Tc
0.371 0.871 0.000 Tc
0.629 0.129 0.000 Tc
0.871 0.629 0.000 Tc
0.000 0.000 0.000 Sb
0.500 0.500 0.000 Sb
0.154 0.654 0.500 I
0.346 0.154 0.500 I
0.654 0.846 0.500 I
0.846 0.346 0.500 I
```

=====

Entry 11:
Mn2CoSi: optimized geometry, GGA-PBE.

Values from the calculation:
- formation energy without anion corrections (kJ/mol of atoms) = -1
- SG = R-3m (166)

POSCAR file:
```
Mn2CoSi
1.0
1.269 0.733 7.874
-1.269 0.733 7.874
0.000 -1.465 7.874
Mn Co Si
2 1 1
Direct
0.250 0.250 0.250 Mn
0.750 0.750 0.750 Mn
0.500 0.500 0.500 Co
0.000 0.000 0.000 Si
```

=====

Entry 12:
TlSeO2F: optimized geometry, GGA-PBE.

Values from the calculation:
- formation energy without anion corrections (kJ/mol of atoms) = 7
- SG = P4/mmm (123)

POSCAR file:
```
TlSeO2F
1.0
4.347 0.000 0.000
0.000 4.347 0.000
0.000 0.000 4.376
Tl Se O F
1 1 2 1
Direct
0.000 0.000 0.000 Tl
0.500 0.500 0.500 Se
0.000 0.500 0.000 O
0.500 0.000 0.000 O
0.000 0.000 0.500 F
```

=====

| no. | calculated total energy (eV/atom) |
| --- | --- |
| 1 | -4.30 |
| 2 | -7.99 |
| 3 | -3.79 |
| 4 | -8.00 |
| 5 | -3.09 |
| 6 | -4.45 |
| 7 | -2.47 |
| 8 | -5.08 |
| 9 | -7.29 |
| 10 | -4.66 |
| 11 | -7.72 |
| 12 | -3.46 |